(1)
AgRhF: relaxed, GGA-PBE.

## Properties
E_tot (eV per cell): -25.99
Density (g/cm3): 8.1
SG: P2_1/m
Fermi-level density of states (states/eV/cell): 7.0
Raw formation energy (eV/atom): -0.307

The structure in POSCAR format:
```
AgRhF
1.0
2.613 -0.018 -1.201
-0.302 2.719 -0.698
-2.517 -2.260 15.209
Ag F Rh
2 2 2
Cartesian
-1.704 1.204 8.322
1.498 -0.763 4.988
-0.361 2.380 0.899
0.154 -1.939 12.411
1.824 0.034 2.244
-2.031 0.407 11.065
```



(2)
Tm6TeSe: relaxed, GGA-PBE.

## Properties
E_tot (eV per cell): -37.19
Density (g/cm3): 8.2
SG: P-1
Fermi-level density of states (states/eV/cell): 8.1
Raw formation energy (eV/atom): -0.467

The structure in POSCAR format:
```
Tm6TeSe
1.0
-2.711 -5.999 0.708
3.963 -5.813 1.292
0.142 -2.518 6.646
Tm Te Se
6 1 1
Cartesian
1.571 -4.706 5.675
-0.177 -9.624 2.971
2.020 -8.911 6.268
-1.918 -6.499 5.547
3.312 -7.831 3.099
-0.626 -5.419 2.378
0.697 -7.165 4.323
0.000 0.000 0.000
```



What is the formula in the second record?
Tm6TeSe



Among the records above, which one has the highest raw formation energy?
AgRhF



Which of these has the highest Fermi-level density of states?
Tm6TeSe



What is the E_tot in the first record?
-25.99 eV per cell